[1]
## U3TiGe5 (GGA-PBE)

Data for crystalline U3TiGe5 at its relaxed geometry.

Results
- Electronic total energy: -7.6100 eV per atom

abc: 8.508 8.508 5.654
angles: 90.00 90.00 120.00
Positions (direct):
U  0.000  0.390  0.250
U  0.000  0.610  0.750
U  0.390  0.000  0.250
U  0.390  0.390  0.750
U  0.610  0.000  0.750
U  0.610  0.610  0.250
Ti  0.000  0.000  0.000
Ti  0.000  0.000  0.500
Ge  0.000  0.263  0.750
Ge  0.000  0.737  0.250
Ge  0.263  0.000  0.750
Ge  0.263  0.263  0.250
Ge  0.333  0.667  0.000
Ge  0.333  0.667  0.500
Ge  0.667  0.333  0.000
Ge  0.667  0.333  0.500
Ge  0.737  0.000  0.250
Ge  0.737  0.737  0.750

[2]
## Ti2VGe4 (GGA-PBE)

Data for crystalline Ti2VGe4 at its relaxed geometry.

Results
- Electronic total energy: -6.0834 eV per atom

abc: 7.155 7.155 7.155
angles: 141.91 141.91 54.96
Positions (direct):
Ti  0.104  0.104  0.000
Ti  0.896  0.896  0.000
V  0.500  0.500  0.000
Ge  0.000  0.500  0.500
Ge  0.306  0.306  0.000
Ge  0.500  0.000  0.500
Ge  0.694  0.694  0.000

[3]
## TiV5Ge4 (GGA-PBE)

Data for crystalline TiV5Ge4 at its relaxed geometry.

Results
- Electronic total energy: -7.2588 eV per atom

abc: 7.451 8.969 4.640
angles: 90.00 90.00 90.00
Positions (direct):
Ti  0.250  0.250  0.023
Ti  0.750  0.750  0.977
V  0.087  0.505  0.246
V  0.087  0.995  0.246
V  0.250  0.750  0.101
V  0.413  0.505  0.246
V  0.413  0.995  0.246
V  0.587  0.005  0.754
V  0.587  0.495  0.754
V  0.750  0.250  0.899
V  0.913  0.005  0.754
V  0.913  0.495  0.754
Ge  0.008  0.750  0.531
Ge  0.250  0.519  0.746
Ge  0.250  0.981  0.746
Ge  0.492  0.750  0.531
Ge  0.508  0.250  0.469
Ge  0.750  0.019  0.254
Ge  0.750  0.481  0.254
Ge  0.992  0.250  0.469

[4]
## Ti2VGe3 (GGA-PBE)

Data for crystalline Ti2VGe3 at its relaxed geometry.

Results
- Electronic total energy: -6.7480 eV per atom

abc: 6.311 6.311 6.366
angles: 99.67 99.67 121.73
Positions (direct):
Ti  0.000  0.000  0.000
Ti  0.162  0.838  0.500
Ti  0.500  0.500  0.500
Ti  0.838  0.162  0.500
V  0.330  0.670  0.000
V  0.670  0.330  0.000
Ge  0.084  0.422  0.246
Ge  0.262  0.262  0.762
Ge  0.422  0.084  0.246
Ge  0.578  0.916  0.754
Ge  0.738  0.738  0.238
Ge  0.916  0.578  0.754

[5]
## Ti5V2Ge4 (GGA-PBE)

Data for crystalline Ti5V2Ge4 at its relaxed geometry.

Results
- Electronic total energy: -7.0072 eV per atom

abc: 10.295 10.295 6.308
angles: 92.18 92.18 15.66
Positions (direct):
Ti  0.000  0.000  0.000
Ti  0.268  0.268  0.193
Ti  0.362  0.362  0.890
Ti  0.638  0.638  0.110
Ti  0.732  0.732  0.807
V  0.409  0.409  0.279
V  0.591  0.591  0.721
Ge  0.170  0.170  0.480
Ge  0.466  0.466  0.659
Ge  0.534  0.534  0.341
Ge  0.830  0.830  0.520

[6]
## TiV2Ge2 (GGA-PBE)

Data for crystalline TiV2Ge2 at its relaxed geometry.

Results
- Electronic total energy: -7.1407 eV per atom

abc: 6.362 6.362 4.839
angles: 109.62 109.62 101.60
Positions (direct):
Ti  0.074  0.926  0.750
Ti  0.926  0.074  0.250
V  0.252  0.400  0.028
V  0.400  0.252  0.528
V  0.600  0.748  0.472
V  0.748  0.600  0.972
Ge  0.195  0.805  0.250
Ge  0.346  0.654  0.750
Ge  0.654  0.346  0.250
Ge  0.805  0.195  0.750

no.,theoretical density (g cm⁻³),magnetization (Bohr magnetons per cell),formation energy from the elements (eV per atom)
1,10.542,10.26,-0.4048
2,5.246,0.00,0.1134
3,6.353,0.00,-0.0631
4,5.983,0.75,-0.2879
5,5.818,0.00,-0.0816
6,6.027,0.00,-0.0673